GaHgAsO | OQMD | PBE | relaxed; E = -30.31 eV/cell; offset from the most stable computed form = 0.0 meV/atom
1.0
4.065 0.000 0.000
0.000 6.896 0.000
0.000 0.000 5.839
Ga Hg As O
2 2 2 2
direct
0.000 0.124 0.000
0.000 0.876 0.500
0.500 0.317 0.437
0.500 0.683 0.937
0.500 0.300 0.887
0.500 0.700 0.387
0.000 0.108 0.326
0.000 0.892 0.826